# 1
VASP calculation (PBE) on a relaxed structure of Rb2Li2UN4.

a = 3.618 Å, b = 6.527 Å, c = 6.958 Å
α = 111.69°, β = 90.00°, γ = 106.09°
Site moments in Bohr magnetons follow the coordinates.
Element x y z (fractional)
Rb (0.856, 0.711, 0.425)  0.01
Rb (0.144, 0.289, 0.575)  0.01
Li (0.321, 0.642, 0.027)  0.02
Li (0.679, 0.358, 0.973)  0.02
U (0.000, 0.000, 0.000)  0.02
N (0.827, 0.654, 0.899)  0.21
N (0.173, 0.346, 0.101)  0.21
N (0.495, 0.990, 0.195)  0.31
N (0.505, 0.010, 0.805)  0.31

Summary:
* crystal system: monoclinic
* space group: C2/m (12)



# 2
VASP calculation (PBE) on a relaxed structure of RbLiU4N8.

a = 7.017 Å, b = 7.017 Å, c = 6.730 Å
α = 58.58°, β = 58.58°, γ = 60.00°
Site moments in Bohr magnetons follow the coordinates.
Element x y z (fractional)
Rb (0.386, 0.386, 0.842)  0.01
Li (0.012, 0.012, 0.965)  0.00
U (0.612, 0.612, 0.164)  1.75
U (0.004, 0.491, 0.501)  0.12
U (0.491, 0.004, 0.501)  0.12
U (0.004, 0.004, 0.501)  0.12
N (0.234, 0.842, 0.690)  -0.01
N (0.842, 0.234, 0.690)  -0.01
N (0.234, 0.234, 0.690)  -0.01
N (0.227, 0.227, 0.319)  -0.01
N (0.739, 0.219, 0.303)  -0.04
N (0.219, 0.739, 0.303)  -0.04
N (0.739, 0.739, 0.303)  -0.04
N (0.758, 0.758, 0.726)  -0.03

Summary:
* crystal system: trigonal
* space group: R3m (160)



# 3
VASP calculation (PBE) on a relaxed structure of RbLiUN3.

a = 3.667 Å, b = 7.795 Å, c = 7.990 Å
α = 112.33°, β = 90.00°, γ = 90.00°
Element x y z (fractional)
Rb (0.750, 0.767, 0.730)
Rb (0.250, 0.233, 0.270)
Li (0.250, 0.073, 0.593)
Li (0.750, 0.927, 0.407)
U (0.250, 0.690, 0.142)
U (0.750, 0.310, 0.858)
N (0.250, 0.808, 0.405)
N (0.750, 0.839, 0.133)
N (0.750, 0.476, 0.122)
N (0.750, 0.192, 0.595)
N (0.250, 0.524, 0.878)
N (0.250, 0.161, 0.867)

Summary:
* crystal system: monoclinic
* space group: P2_1/m (11)



What energy relative to the elements, uncorrected values result from the calculations? In sequence: -0.413; -0.933; -0.668 eV/atom.
What Fermi-level density of states values result from the calculations? In sequence: 5.4; 6.8; 3.4 states/eV per cell.